La2ScTiPt (PBE-GGA, optimized geometry); mass density = 5.702 Mg/m³; total DFT energy (no corrections) = -5.99 eV per atom
1.0
5.675 0.000 0.000
0.000 5.675 0.000
0.000 0.000 5.116
La Sc Ti Pt
2 1 1 1
Direct
0.000 0.500 0.000 La
0.500 0.000 0.000 La
0.000 0.000 0.500 Sc
0.500 0.500 0.500 Ti
0.000 0.000 0.000 Pt

NiSnAsSe2 (PBE-GGA, optimized geometry); energy relative to the lowest polymorph listed for this composition = 949.5 meV/atom; mass density = 4.687 Mg/m³; total DFT energy (no corrections) = -3.20 eV per atom; raw formation energy = 24.8 kcal/mol of atoms
1.0
5.284 0.000 0.000
0.000 5.284 0.000
0.000 0.000 5.206
Ni Sn As Se
1 1 1 2
Direct
0.000 0.000 0.000 Ni
0.500 0.500 0.500 Sn
0.500 0.500 0.000 As
0.000 0.500 0.500 Se
0.500 0.000 0.500 Se

KZn3Ag2 (PBE-GGA, optimized geometry); mass density = 5.598 Mg/m³; total DFT energy (no corrections) = -1.79 eV per atom
1.0
5.427 -4.302 0.000
5.427 4.302 0.000
0.000 0.000 5.731
K Zn Ag
2 6 4
Direct
0.158 0.842 0.750 K
0.842 0.158 0.250 K
0.034 0.570 0.250 Zn
0.418 0.582 0.250 Zn
0.430 0.966 0.250 Zn
0.570 0.034 0.750 Zn
0.582 0.418 0.750 Zn
0.966 0.430 0.750 Zn
0.296 0.296 0.000 Ag
0.296 0.296 0.500 Ag
0.704 0.704 0.000 Ag
0.704 0.704 0.500 Ag

Li8Ga6Ni (PBE-GGA, optimized geometry); mass density = 3.377 Mg/m³; total DFT energy (no corrections) = -2.83 eV per atom
1.0
3.674 2.121 5.600
-3.674 2.121 5.600
0.000 -4.242 5.600
Li Ga Ni
8 6 1
Direct
0.022 0.731 0.388 Li
0.161 0.161 0.161 Li
0.269 0.612 0.978 Li
0.388 0.022 0.731 Li
0.612 0.978 0.269 Li
0.731 0.388 0.022 Li
0.839 0.839 0.839 Li
0.978 0.269 0.612 Li
0.139 0.455 0.767 Ga
0.233 0.861 0.545 Ga
0.455 0.767 0.139 Ga
0.545 0.233 0.861 Ga
0.767 0.139 0.455 Ga
0.861 0.545 0.233 Ga
0.500 0.500 0.500 Ni

Q: Which value of total DFT energy (no corrections) does entry 4 give?
A: -2.83 eV per atom